Computed, not measured: an optimized crystal structure of KLi2Sc at the PBE-GGA level of DFT.

abc: 3.4358 6.3074 5.6832
angles: 90.00 90.00 90.00
With the nearest neighbours (Å) after each atom.
Fractional positions:
K (0.0000, 0.5000, 0.5000)  4 Li 3.32, 2 K 3.44, 4 Sc 3.59
Li (0.0000, 0.0000, 0.0000)  4 Sc 3.32, 6 Li 3.44-3.59
Li (0.5000, 0.5000, 0.0000)  4 K 3.32, 6 Li 3.44-3.59
Sc (0.5000, 0.0000, 0.5000)  4 Li 3.32, 2 Sc 3.44, 4 K 3.59

## Properties
space group = No. 47
DFT formation energy = 0.53 eV/atom
energy relative to the lowest polymorph listed for this composition = 238.3 meV per atom
calculated density = 1.32 Mg/m³